A plane-wave DFT calculation with GGA-PBE was carried out for Ho12Er6Tm after structural relaxation.

Geometry as extended XYZ:
```
19
Lattice="8.3515 0.7237 0.8670 -0.5508 8.3646 0.8670 -0.5508 -0.6417 8.3849" Properties=species:S:1:pos:R:3 pbc="T T T"
Ho 5.9328 4.8240 4.7922
Ho 2.9090 6.4483 5.6027
Ho 3.8689 3.5365 7.3457
Ho 1.3172 3.6226 5.3268
Ho 4.3409 1.9984 4.5162
Ho 3.3811 4.9102 2.7732
Ho -0.2219 1.4975 3.1790
Ho 5.7361 5.3203 9.5433
Ho 4.3891 8.2324 8.0775
Ho 7.4718 6.9492 6.9399
Ho 1.5138 3.1264 0.5757
Ho 2.8608 0.2143 2.0414
Er 5.5382 7.9288 4.0174
Er 5.5829 2.5881 1.5998
Er 0.2524 5.6869 2.8323
Er 1.7118 0.5178 6.1015
Er 1.6670 5.8586 8.5191
Er 6.9976 2.7598 7.2866
Tm 0.0000 0.0000 0.0000
```

Crystal system = trigonal
Volume = 598 Å³/f.u.
Calculated total energy = -83.74 eV for the cell shown
ΔE to the lowest computed polymorph = 0.000 eV per atom

A plane-wave DFT calculation with GGA-PBE was carried out for HoEr2Tm12 after structural relaxation.

Geometry as extended XYZ:
```
30
Lattice="-5.8061 -2.7268 1.5623 0.4573 -5.6853 3.3250 1.4461 10.8757 20.3021" Properties=species:S:1:pos:R:3 pbc="T T T"
Ho -1.4569 9.5122 21.0832
Ho 0.2286 -2.8426 1.6626
Er -2.4786 -3.7448 9.7570
Er 0.1957 0.4612 7.3131
Er -4.0985 2.0023 17.8760
Er -1.4241 6.2084 15.4326
Tm -2.7699 5.1669 18.4722
Tm 0.3619 3.6878 19.3535
Tm -2.5509 2.8594 21.0451
Tm -1.2110 5.8875 21.4181
Tm 0.4206 -1.9445 9.7235
Tm 0.4399 -4.9032 4.6526
Tm -2.7432 2.2671 13.5107
Tm -2.7111 -0.4654 8.8422
Tm 0.1235 7.0653 18.6011
Tm -4.0262 -4.6019 6.5879
Tm 0.1567 3.8499 13.1030
Tm -4.2912 1.6757 10.7974
Tm -4.3233 4.4082 15.4658
Tm -1.3850 2.8197 9.6427
Tm -1.3518 -0.3956 4.1447
Tm -4.0597 -1.3862 12.0863
Tm -2.5174 -0.3563 15.5467
Tm -4.2645 -1.2241 5.8359
Tm 0.3888 0.7883 14.3918
Tm -1.1917 2.9288 16.3472
Tm -4.3428 7.3665 20.5370
Tm -1.1329 -2.7034 6.7172
Tm -1.1598 0.1960 11.6789
Tm -2.6916 -3.4237 3.7711
```

Crystal system = monoclinic
Volume = 456 Å³/f.u.
Calculated total energy = -132.49 eV for the cell shown

A plane-wave DFT calculation with GGA-PBE was carried out for Ho15Er2Tm2 after structural relaxation.

Geometry as extended XYZ:
```
19
Lattice="-2.6057 -1.3870 8.1090 6.4603 -4.9138 2.9305 4.6963 5.8888 4.2114" Properties=species:S:1:pos:R:3 pbc="T T T"
Ho 3.2302 -2.4569 1.4653
Ho 2.3482 2.9444 2.1057
Ho -1.3029 -0.6935 4.0545
Ho 2.5144 3.7148 5.3760
Ho 0.1032 -2.4408 6.5616
Ho 5.9332 -1.6860 3.3132
Ho 3.7514 -3.8600 4.4778
Ho 5.2234 2.6609 3.8287
Ho -0.4239 0.7870 6.9444
Ho 6.2768 -2.5126 7.0691
Ho 5.4297 2.6749 7.6842
Ho 1.9232 -0.8190 9.5558
Ho 2.2741 2.1006 8.1818
Ho 3.1212 -3.0868 7.5667
Ho 6.6277 0.4070 5.6951
Er 5.8090 -0.2799 10.3606
Er 2.7419 -0.1321 4.8902
Tm 7.7299 -0.3724 13.7866
Tm 0.8210 -0.0396 1.4643
```

Crystal system = trigonal
Volume = 613 Å³/f.u.
Calculated total energy = -81.13 eV for the cell shown

A plane-wave DFT calculation with GGA-PBE was carried out for Ho6Er8Tm after structural relaxation.

Geometry as extended XYZ:
```
15
Lattice="-3.4931 -4.8289 2.4427 2.7356 -5.4926 -6.9462 4.9461 0.3823 7.8289" Properties=species:S:1:pos:R:3 pbc="T T T"
Ho 0.2492 -6.5660 -2.5509
Ho 3.3161 -7.6217 -0.2521
Ho 0.6369 -5.0069 1.0856
Ho 3.9394 -3.3732 5.8763
Ho 0.8724 -2.3174 3.5775
Ho 3.5517 -4.9322 2.2398
Er 1.0669 -9.5941 -2.1528
Er 2.0345 -7.8762 2.6270
Er -2.1169 -6.1725 0.0585
Er 3.1217 -0.3450 5.4782
Er 2.1541 -2.0629 0.6984
Er 6.3055 -3.7667 3.2669
Er 1.2961 -5.6032 4.9410
Er 2.8925 -4.3360 -1.6156
Tm -1.7466 -2.4145 1.2213
```

Crystal system = trigonal
Volume = 479 Å³/f.u.
Calculated total energy = -64.73 eV for the cell shown

A plane-wave DFT calculation with GGA-PBE was carried out for Ho8Er6Tm after structural relaxation.

Geometry as extended XYZ:
```
15
Lattice="-0.9798 -1.9181 -6.0880 6.8895 -6.1337 0.8237 -8.6644 -2.4498 2.1662" Properties=species:S:1:pos:R:3 pbc="T T T"
Ho 3.1664 -8.4813 -3.9886
Ho -1.9120 -7.5858 -3.4535
Ho 1.2207 -3.8171 -5.1450
Ho -5.9211 -2.0202 0.8906
Ho -0.8427 -2.9156 0.3555
Ho -3.9754 -6.6844 2.0470
Ho -4.2939 -5.2716 -3.3404
Ho 1.5393 -5.2298 0.2424
Er 3.3101 -5.5354 -2.8644
Er 0.5775 -8.1567 -1.5988
Er -0.5219 -4.4488 -2.5901
Er -6.0647 -4.9661 -0.2336
Er -3.3322 -2.3448 -1.4992
Er -2.2328 -6.0527 -0.5080
Tm -0.4899 -0.9590 -3.0440
```

Crystal system = trigonal
Volume = 480 Å³/f.u.
Calculated total energy = -64.79 eV for the cell shown
ΔE to the lowest computed polymorph = 0.115 eV per atom

A plane-wave DFT calculation with GGA-PBE was carried out for Ho12ErTm6 after structural relaxation.

Geometry as extended XYZ:
```
19
Lattice="-4.7125 6.9138 -0.9394 -6.3452 -3.4019 4.3652 2.8587 3.2591 7.2178" Properties=species:S:1:pos:R:3 pbc="T T T"
Ho -5.8554 4.9317 4.7808
Ho -5.4179 2.1386 6.8946
Ho -3.1016 4.8008 6.9854
Ho -2.3437 1.8393 5.8628
Ho -2.7811 4.6323 3.7490
Ho -5.0974 1.9702 3.6582
Ho -0.3265 0.5392 3.4662
Ho -4.9934 6.5371 9.2010
Ho -7.0346 3.6654 9.4554
Ho -7.8725 6.2317 7.1774
Ho -3.2057 0.2339 1.4426
Ho -1.1645 3.1056 1.1882
Er 0.0000 0.0000 0.0000
Tm -8.3755 3.0608 5.4830
Tm -4.6207 4.2154 1.1438
Tm -4.0972 -0.8720 4.7835
Tm 0.1765 3.7102 5.1606
Tm -3.5784 2.5555 9.4998
Tm -4.1019 7.6429 5.8601
```

Crystal system = trigonal
Volume = 596 Å³/f.u.
Calculated total energy = -83.28 eV for the cell shown
ΔE to the lowest computed polymorph = 0.000 eV per atom

What is the formula in the fifth record?
Ho8Er6Tm